Computed, not measured: a relaxed PmSmPb crystal at the PBE level of DFT.

a b c (Å): 5.3086 5.3086 5.3086
angles (deg): 60.00 60.00 60.00
Last column: nearest neighbours and their distance in Å.
Element x y z (fractional)
Sm 0.0000 0.0000 0.0000  4 Pb 3.25
Pb 0.2500 0.2500 0.2500  4 Pm 3.25, 4 Sm 3.25
Pm 0.5000 0.5000 0.5000  4 Pb 3.25

Output
The energy above the most stable polymorph in this dataset comes out at 182.6 meV per atom. The value obtained for the volume is 35.26 Å³ per atom. Its formation energy is -0.255 eV/atom. As for the density of states at the Fermi level: 4.026 states/eV/cell.

=====

Computed, not measured: a relaxed Pm8SmPb5 crystal at the PBE level of DFT.

a b c (Å): 8.3867 8.3867 8.3867
angles (deg): 109.25 109.91 109.25
Last column: nearest neighbours and their distance in Å.
Element x y z (fractional)
Pm 0.2687 0.2316 0.3634  5 Pb 3.23-3.51, 1 Sm 3.37, 1 Pm 3.44
Pm 0.7509 0.2335 0.3575  5 Pb 3.19-3.51
Pm 0.4826 0.6066 0.2491  5 Pb 3.19-3.51
Pm 0.1317 0.7684 0.0370  5 Pb 3.23-3.51, 1 Sm 3.37, 1 Pm 3.44
Pm 0.1240 0.7665 0.5174  5 Pb 3.19-3.51
Pm 0.9630 0.0947 0.7313  5 Pb 3.23-3.51, 1 Sm 3.37, 1 Pm 3.44
Pm 0.6366 0.9053 0.8683  5 Pb 3.23-3.51, 1 Sm 3.37, 1 Pm 3.44
Pm 0.6425 0.3934 0.8760  5 Pb 3.19-3.51
Pb 0.3707 0.1246 0.9844  8 Pm 3.19-3.51
Pb 0.0156 0.3863 0.1402  8 Pm 3.19-3.51
Pb 0.7539 0.6137 0.6293  8 Pm 3.19-3.51
Pb 0.5000 0.0000 0.5000  8 Pm 3.20-3.36
Pb 0.8598 0.8754 0.2461  8 Pm 3.19-3.51
Sm 0.2500 0.5000 0.7500  8 Pm 3.37-3.60

Output
The value obtained for the volume is 32.43 Å³ per atom. Its formation energy is -0.366 eV/atom. As for the density of states at the Fermi level: 16.888 states/eV/cell.

=====

Computed, not measured: a relaxed Pm2Sm3Pb3 crystal at the PBE level of DFT.

a b c (Å): 4.5044 4.9804 11.3830
angles (deg): 102.64 101.41 90.00
Last column: nearest neighbours and their distance in Å.
Element x y z (fractional)
Sm 0.5000 0.0000 0.0000  8 Pb 3.36-3.61, 4 Sm 3.61
Sm 0.6199 0.6199 0.2397  6 Pb 3.36-3.45, 2 Sm 3.61, 4 Pm 3.67-3.72
Sm 0.3801 0.3801 0.7603  6 Pb 3.36-3.45, 2 Sm 3.61, 4 Pm 3.67-3.72
Pb 0.0000 0.5000 0.0000  8 Sm 3.36-3.45
Pb 0.1298 0.1298 0.2596  4 Pm 3.35-3.71, 6 Sm 3.36-3.61
Pb 0.8702 0.8702 0.7404  4 Pm 3.35-3.71, 6 Sm 3.36-3.61
Pm 0.7438 0.2438 0.4876  4 Pb 3.35-3.71, 4 Pm 3.37, 4 Sm 3.67-3.72
Pm 0.2562 0.7562 0.5124  4 Pb 3.35-3.71, 4 Pm 3.37, 4 Sm 3.67-3.72

Output
The value obtained for the volume is 30.50 Å³ per atom. Its formation energy is -0.398 eV/atom. As for the density of states at the Fermi level: 9.287 states/eV/cell.

=====

Computed, not measured: a relaxed Pm8Sm6Pb crystal at the PBE level of DFT.

a b c (Å): 6.6628 9.4133 9.4133
angles (deg): 120.00 90.00 90.00
Last column: nearest neighbours and their distance in Å.
Element x y z (fractional)
Pm 0.1777 0.9609 0.7304  1 Pb 3.20, 3 Pm 3.35-3.37, 2 Sm 3.36-3.57
Pm 0.1777 0.2696 0.2305  1 Pb 3.20, 3 Pm 3.35-3.37, 2 Sm 3.36-3.57
Pm 0.8679 0.3333 0.6667  3 Pm 3.37
Pm 0.1777 0.7695 0.0391  1 Pb 3.20, 3 Pm 3.35-3.37, 2 Sm 3.36-3.57
Pm 0.8223 0.2305 0.9609  1 Pb 3.20, 3 Pm 3.35-3.37, 2 Sm 3.36-3.57
Pm 0.1321 0.6667 0.3333  3 Pm 3.37
Pm 0.8223 0.0391 0.2696  1 Pb 3.20, 3 Pm 3.35-3.37, 2 Sm 3.36-3.57
Pm 0.8223 0.7304 0.7695  1 Pb 3.20, 3 Pm 3.35-3.37, 2 Sm 3.36-3.57
Sm 0.3336 0.3517 0.9070  1 Sm 3.30, 4 Pm 3.36-3.65
Sm 0.6664 0.6483 0.0930  1 Sm 3.30, 4 Pm 3.36-3.65
Sm 0.3336 0.5553 0.6483  1 Sm 3.30, 4 Pm 3.36-3.65
Sm 0.6664 0.4447 0.3517  1 Sm 3.30, 4 Pm 3.36-3.65
Sm 0.6664 0.9070 0.5553  1 Sm 3.30, 4 Pm 3.36-3.65
Sm 0.3336 0.0930 0.4447  1 Sm 3.30, 4 Pm 3.36-3.65
Pb 0.5000 0.0000 0.0000  6 Pm 3.20

Output
The value obtained for the volume is 34.09 Å³ per atom. Its formation energy is 0.055 eV/atom. As for the density of states at the Fermi level: 19.978 states/eV/cell.

=====

Computed, not measured: a relaxed Pm5Sm4Pb2 crystal at the PBE level of DFT.

a b c (Å): 5.3919 5.3919 15.9233
angles (deg): 80.25 80.25 60.00
Last column: nearest neighbours and their distance in Å.
Element x y z (fractional)
Pb 0.1186 0.1186 0.6443  4 Pm 3.24-3.62, 3 Sm 3.32
Pb 0.8814 0.8814 0.3557  4 Pm 3.24-3.62, 3 Sm 3.32
Sm 0.5729 0.5729 0.2813  3 Pb 3.32, 2 Pm 3.42-3.50, 3 Sm 3.51
Sm 0.2740 0.2740 0.1779  3 Sm 3.51, 5 Pm 3.64-3.67
Sm 0.4271 0.4271 0.7187  3 Pb 3.32, 2 Pm 3.42-3.50, 3 Sm 3.51
Sm 0.7260 0.7260 0.8221  3 Sm 3.51, 5 Pm 3.64-3.67
Pm 0.8042 0.8042 0.5875  4 Pb 3.24-3.62, 3 Pm 3.40
Pm 0.3524 0.3524 0.9429  5 Sm 3.50-3.67, 3 Pm 3.59
Pm 0.1958 0.1958 0.4125  4 Pb 3.24-3.62, 3 Pm 3.40
Pm 0.6476 0.6476 0.0571  5 Sm 3.50-3.67, 3 Pm 3.59
Pm 0.5000 0.5000 0.5000  6 Pm 3.40, 2 Sm 3.42

Output
The value obtained for the volume is 35.74 Å³ per atom. Its formation energy is 0.171 eV/atom. As for the density of states at the Fermi level: 16.126 states/eV/cell.

=====

Computed, not measured: a relaxed Pm3Sm2Pb3 crystal at the PBE level of DFT.

a b c (Å): 4.5004 4.9937 11.4214
angles (deg): 102.63 101.36 90.00
Last column: nearest neighbours and their distance in Å.
Element x y z (fractional)
Pm 0.3798 0.3798 0.7597  6 Pb 3.37-3.46, 2 Pm 3.62, 4 Sm 3.68-3.72
Pm 0.6202 0.6202 0.2403  6 Pb 3.37-3.46, 2 Pm 3.62, 4 Sm 3.68-3.72
Pm 0.5000 0.0000 0.0000  8 Pb 3.36-3.65, 4 Pm 3.62
Sm 0.7440 0.2440 0.4880  4 Pb 3.33-3.69, 4 Sm 3.37, 4 Pm 3.68-3.72
Sm 0.2560 0.7560 0.5120  4 Pb 3.33-3.69, 4 Sm 3.37, 4 Pm 3.68-3.72
Pb 0.8686 0.8686 0.7373  4 Sm 3.33-3.69, 6 Pm 3.37-3.65
Pb 0.1314 0.1314 0.2627  4 Sm 3.33-3.69, 6 Pm 3.37-3.65
Pb 0.0000 0.5000 0.0000  8 Pm 3.36-3.46

Output
The value obtained for the volume is 30.66 Å³ per atom. Its formation energy is -0.406 eV/atom. As for the density of states at the Fermi level: 9.401 states/eV/cell.

=====

Computed, not measured: a relaxed Pm2Sm3Pb2 crystal at the PBE level of DFT.

a b c (Å): 3.5842 8.2105 9.0728
angles (deg): 119.49 101.39 90.00
Last column: nearest neighbours and their distance in Å.
Element x y z (fractional)
Pm 0.8769 0.7263 0.7539  4 Pb 3.35-3.59, 4 Sm 3.51-3.65, 2 Pm 3.58
Pm 0.1231 0.2737 0.2461  4 Pb 3.35-3.59, 4 Sm 3.51-3.65, 2 Pm 3.58
Sm 0.2122 0.7818 0.4243  5 Sm 3.29-3.61, 3 Pb 3.34-3.45, 3 Pm 3.64-3.65
Sm 0.7878 0.2182 0.5757  5 Sm 3.29-3.61, 3 Pb 3.34-3.45, 3 Pm 3.64-3.65
Sm 0.0000 0.5000 0.0000  4 Sm 3.29-3.58, 4 Pb 3.31, 2 Pm 3.51
Pb 0.5772 0.8906 0.1543  5 Sm 3.31-3.45, 4 Pm 3.35-3.59, 2 Pb 3.58
Pb 0.4228 0.1094 0.8457  5 Sm 3.31-3.45, 4 Pm 3.35-3.59, 2 Pb 3.58

Output
The value obtained for the volume is 32.34 Å³ per atom. Its formation energy is -0.170 eV/atom. As for the density of states at the Fermi level: 8.216 states/eV/cell.

=====

Computed, not measured: a relaxed Pm2SmPb crystal at the PBE level of DFT.

a b c (Å): 3.5418 3.5418 12.3991
angles (deg): 81.79 81.79 60.00
Last column: nearest neighbours and their distance in Å.
Element x y z (fractional)
Pm 0.9074 0.9074 0.2777  1 Sm 3.40, 3 Pb 3.40, 6 Pm 3.54
Pm 0.0926 0.0926 0.7223  1 Sm 3.40, 3 Pb 3.40, 6 Pm 3.54
Pb 0.5000 0.5000 0.5000  6 Pm 3.40, 6 Pb 3.54
Sm 0.0000 0.0000 0.0000  2 Pm 3.40, 6 Sm 3.54

Output
The energy above the most stable polymorph in this dataset comes out at 382.1 meV per atom. The value obtained for the volume is 33.21 Å³ per atom. Its formation energy is 0.053 eV/atom. As for the density of states at the Fermi level: 6.578 states/eV/cell.

=====

Computed, not measured: a relaxed PmSmPb crystal at the PBE level of DFT.

a b c (Å): 4.2168 4.2168 5.8738
angles (deg): 111.04 111.04 90.00
Last column: nearest neighbours and their distance in Å.
Element x y z (fractional)
Sm 0.2739 0.2739 0.5478  5 Pm 3.19-3.52, 5 Pb 3.38-3.48
Pb 0.6173 0.6173 0.2346  5 Sm 3.38-3.48, 5 Pm 3.39-3.46
Pm 0.9588 0.9588 0.9176  5 Sm 3.19-3.52, 5 Pb 3.39-3.46

Output
The energy above the most stable polymorph in this dataset comes out at 109.4 meV per atom. The value obtained for the volume is 30.00 Å³ per atom. Its formation energy is -0.329 eV/atom. As for the density of states at the Fermi level: 4.218 states/eV/cell.

=====

Computed, not measured: a relaxed Pm2Sm3Pb4 crystal at the PBE level of DFT.

a b c (Å): 4.9768 6.8719 8.9076
angles (deg): 103.12 106.22 90.00
Last column: nearest neighbours and their distance in Å.
Element x y z (fractional)
Pm 0.6662 0.0804 0.3325  5 Pb 3.16-3.38
Pm 0.3338 0.9196 0.6675  5 Pb 3.16-3.38
Pb 0.4944 0.7166 0.9888  1 Pb 3.03, 2 Sm 3.15, 2 Pm 3.36-3.38
Pb 0.7451 0.6824 0.4903  3 Pm 3.16-3.32, 3 Sm 3.34-3.35
Pb 0.5056 0.2834 0.0112  1 Pb 3.03, 2 Sm 3.15, 2 Pm 3.36-3.38
Pb 0.2549 0.3176 0.5097  3 Pm 3.16-3.32, 3 Sm 3.34-3.35
Sm 0.0000 0.0000 0.0000  4 Pb 3.15
Sm 0.1115 0.5754 0.2230  7 Pb 3.34-3.47, 1 Sm 3.71
Sm 0.8885 0.4246 0.7770  7 Pb 3.34-3.47, 1 Sm 3.71

Output
The energy above the most stable polymorph in this dataset comes out at 0.0 meV per atom. The value obtained for the volume is 31.58 Å³ per atom. Its formation energy is -0.479 eV/atom. As for the density of states at the Fermi level: 6.290 states/eV/cell.

=====

Computed, not measured: a relaxed Pm2SmPb crystal at the PBE level of DFT.

a b c (Å): 4.9621 4.9538 4.9538
angles (deg): 90.00 90.00 90.00
Last column: nearest neighbours and their distance in Å.
Element x y z (fractional)
Pb 0.5000 0.0000 0.0000  4 Sm 3.50, 8 Pm 3.51
Sm 0.5000 0.5000 0.5000  4 Pb 3.50, 8 Pm 3.51
Pm 0.0000 0.0000 0.5000  4 Pm 3.50, 4 Sm 3.51, 4 Pb 3.51
Pm 0.0000 0.5000 0.0000  4 Pm 3.50, 4 Sm 3.51, 4 Pb 3.51

Output
The energy above the most stable polymorph in this dataset comes out at 0.0 meV per atom. The value obtained for the volume is 30.44 Å³ per atom. Its formation energy is -0.329 eV/atom. As for the density of states at the Fermi level: 4.766 states/eV/cell.

=====

Computed, not measured: a relaxed PmSm8Pb6 crystal at the PBE level of DFT.

a b c (Å): 9.3646 9.3646 8.5722
angles (deg): 56.89 56.89 60.00
Last column: nearest neighbours and their distance in Å.
Element x y z (fractional)
Pb 0.7348 0.4034 0.7930  7 Sm 3.19-3.44, 1 Pm 3.42
Pb 0.0688 0.7348 0.7930  7 Sm 3.19-3.44, 1 Pm 3.42
Pb 0.5966 0.9312 0.2070  7 Sm 3.19-3.44, 1 Pm 3.42
Pb 0.2652 0.5966 0.2070  7 Sm 3.19-3.44, 1 Pm 3.42
Pb 0.4034 0.0688 0.7930  7 Sm 3.19-3.44, 1 Pm 3.42
Pb 0.9312 0.2652 0.2070  7 Sm 3.19-3.44, 1 Pm 3.42
Sm 0.2292 0.8962 0.3104  5 Pb 3.19-3.44
Sm 0.7708 0.1038 0.6896  5 Pb 3.19-3.44
Sm 0.4359 0.7708 0.6896  5 Pb 3.19-3.44
Sm 0.5641 0.2292 0.3104  5 Pb 3.19-3.44
Sm 0.6668 0.6668 0.9997  6 Pb 3.41, 6 Sm 3.75
Sm 0.1038 0.4359 0.6896  5 Pb 3.19-3.44
Sm 0.3332 0.3332 0.0003  6 Pb 3.41, 6 Sm 3.75
Sm 0.8962 0.5641 0.3104  5 Pb 3.19-3.44
Pm 0.0000 0.0000 0.0000  6 Pb 3.42, 6 Sm 3.74

Output
The value obtained for the volume is 33.68 Å³ per atom. Its formation energy is -0.388 eV/atom. As for the density of states at the Fermi level: 11.148 states/eV/cell.

=====

Calculated total magnetization in order - 0.00, 0.85, 0.00, 0.00, 0.75, 0.00, 0.55, 0.81, 0.13, 0.00, 0.00, 0.01 μB/cell